# Na2MgVF7 | the Alexandria database | PBE+U | optimized geometry
# * spin magnetization: 2.000 μB per formula unit
# * uncorrected energy: -5.311 eV per atom
data_Na2MgVF7
_cell_length_a 7.410
_cell_length_b 7.410
_cell_length_c 7.410
_cell_angle_alpha 120.84
_cell_angle_beta 118.71
_cell_angle_gamma 90.40
_symmetry_space_group_name_H-M 'P 1'
_symmetry_Int_Tables_number 1
loop_
_symmetry_equiv_pos_as_xyz
'x,y,z'
loop_
_atom_site_label
_atom_site_fract_x
_atom_site_fract_y
_atom_site_fract_z
F1 0.052 0.416 0.234
F2 0.637 0.906 0.731
F3 0.912 0.750 0.162
F4 0.948 0.182 0.364
F5 0.324 0.594 0.731
F6 0.682 0.916 0.364
F7 0.682 0.318 0.766
F8 0.088 0.250 0.838
F9 0.052 0.818 0.636
F10 0.676 0.406 0.269
F11 0.318 0.682 0.234
F12 0.363 0.094 0.269
F13 0.318 0.084 0.636
F14 0.948 0.584 0.766
V1 0.000 0.500 0.500
V2 0.500 0.000 0.500
Mg1 0.000 0.500 0.000
Mg2 0.000 0.000 0.500
Na1 0.500 0.000 0.000
Na2 0.500 0.500 0.500
Na3 0.000 0.000 0.000
Na4 0.500 0.500 0.000